Entry 1:
{"formula": "Nd7IrSe5", "functional": "GGA-PBE", "state": "optimized geometry", "cell": [[2.043, -7.011, 0.000], [2.043, 7.011, 0.000], [0.000, 0.000, 25.218]], "species": ["Nd", "Nd", "Nd", "Nd", "Nd", "Nd", "Nd", "Nd", "Nd", "Nd", "Nd", "Nd", "Nd", "Nd", "Ir", "Ir", "Se", "Se", "Se", "Se", "Se", "Se", "Se", "Se", "Se", "Se"], "fractional_positions": [[0.047, 0.953, 0.500], [0.130, 0.870, 0.215], [0.149, 0.851, 0.789], [0.288, 0.712, 0.432], [0.304, 0.696, 0.569], [0.399, 0.601, 0.132], [0.427, 0.573, 0.858], [0.573, 0.427, 0.358], [0.601, 0.399, 0.632], [0.696, 0.304, 0.069], [0.712, 0.288, 0.932], [0.851, 0.149, 0.289], [0.870, 0.130, 0.715], [0.953, 0.047, 0.000], [0.309, 0.691, 0.012], [0.691, 0.309, 0.512], [0.048, 0.952, 0.107], [0.065, 0.935, 0.897], [0.212, 0.788, 0.324], [0.231, 0.769, 0.679], [0.487, 0.513, 0.247], [0.513, 0.487, 0.747], [0.769, 0.231, 0.179], [0.788, 0.212, 0.824], [0.935, 0.065, 0.397], [0.952, 0.048, 0.607]], "space_group": "Cmc2_1 (36)", "volume_a3_per_cell": 722.6, "energy_ev_per_fu": -79.3, "dos_ef_per_ev_fu": 8.30}

---

Entry 2:
{"formula": "Nd4IrSe3", "functional": "GGA-PBE", "state": "optimized geometry", "cell": [[4.315, -6.033, 0.000], [4.315, 6.033, 0.000], [0.000, 0.000, 4.172]], "species": ["Nd", "Nd", "Nd", "Nd", "Ir", "Se", "Se", "Se"], "fractional_positions": [[0.229, 0.229, 0.500], [0.242, 0.758, 0.000], [0.758, 0.242, 0.000], [0.771, 0.771, 0.500], [0.000, 0.000, 0.000], [0.000, 0.500, 0.500], [0.500, 0.000, 0.500], [0.500, 0.500, 0.000]], "space_group": "Cmmm (65)", "e_above_lowest_polymorph_mev_per_atom": 0, "volume_a3_per_cell": 217.2, "energy_ev_per_fu": -50.7, "dos_ef_per_ev_fu": 6.92}

---

Entry 3:
{"formula": "Nd4IrSe3", "functional": "GGA-PBE", "state": "optimized geometry", "cell": [[5.953, 0.000, 0.000], [0.000, 9.844, 0.000], [0.000, 0.000, 8.946]], "species": ["Nd", "Nd", "Nd", "Nd", "Nd", "Nd", "Nd", "Nd", "Ir", "Ir", "Se", "Se", "Se", "Se", "Se", "Se"], "fractional_positions": [[0.250, 0.017, 0.181], [0.250, 0.250, 0.661], [0.250, 0.483, 0.181], [0.250, 0.750, 0.653], [0.750, 0.250, 0.347], [0.750, 0.517, 0.819], [0.750, 0.750, 0.339], [0.750, 0.983, 0.819], [0.250, 0.250, 0.352], [0.750, 0.750, 0.648], [0.250, 0.501, 0.847], [0.250, 0.750, 0.323], [0.250, 0.999, 0.847], [0.750, 0.001, 0.153], [0.750, 0.250, 0.677], [0.750, 0.499, 0.153]], "space_group": "Pmmn (59)", "e_above_lowest_polymorph_mev_per_atom": 237, "volume_a3_per_cell": 524.2, "energy_ev_per_fu": -48.8, "dos_ef_per_ev_fu": 10.28}

---

Entry 4:
{"formula": "Nd4TeIrSe2", "functional": "GGA-PBE", "state": "optimized geometry", "cell": [[7.494, 0.000, 0.000], [0.000, 4.231, 0.000], [-2.433, 0.000, 7.201]], "species": ["Nd", "Nd", "Nd", "Nd", "Te", "Ir", "Se", "Se"], "fractional_positions": [[0.232, 0.000, 0.221], [0.253, 0.500, 0.773], [0.747, 0.500, 0.227], [0.768, 0.000, 0.779], [0.000, 0.000, 0.500], [0.000, 0.500, 0.000], [0.500, 0.000, 0.000], [0.500, 0.500, 0.500]], "space_group": "P2/m (10)", "volume_a3_per_cell": 228.3, "energy_ev_per_fu": -49.3, "dos_ef_per_ev_fu": 7.11}

---

Entry 5:
{"formula": "Nd6TeIr2Se3", "functional": "GGA-PBE", "state": "optimized geometry", "cell": [[9.404, -2.098, 0.000], [9.404, 2.098, 0.000], [-2.301, 0.000, 8.511]], "species": ["Nd", "Nd", "Nd", "Nd", "Nd", "Nd", "Te", "Ir", "Ir", "Se", "Se", "Se"], "fractional_positions": [[0.013, 0.013, 0.271], [0.324, 0.324, 0.883], [0.327, 0.327, 0.425], [0.673, 0.673, 0.575], [0.676, 0.676, 0.117], [0.987, 0.987, 0.729], [0.500, 0.500, 0.000], [0.169, 0.169, 0.339], [0.831, 0.831, 0.661], [0.159, 0.159, 0.841], [0.500, 0.500, 0.500], [0.841, 0.841, 0.159]], "space_group": "C2/m (12)", "volume_a3_per_cell": 335.9, "energy_ev_per_fu": -76.2, "dos_ef_per_ev_fu": 5.01}

---

Entry 6:
{"formula": "Nd4Te2IrSe", "functional": "GGA-PBE", "state": "optimized geometry", "cell": [[7.607, 0.000, 0.000], [0.000, 4.273, 0.000], [-2.450, 0.000, 7.350]], "species": ["Nd", "Nd", "Nd", "Nd", "Te", "Te", "Ir", "Se"], "fractional_positions": [[0.221, 0.000, 0.210], [0.247, 0.500, 0.778], [0.753, 0.500, 0.222], [0.779, 0.000, 0.790], [0.000, 0.000, 0.500], [0.500, 0.500, 0.500], [0.000, 0.500, 0.000], [0.500, 0.000, 0.000]], "space_group": "P2/m (10)", "volume_a3_per_cell": 238.9, "energy_ev_per_fu": -48.5, "dos_ef_per_ev_fu": 6.90}